[1]
Compound: Y4ZnCu
Source: the Alexandria database
Functional: PBE
Structure: optimized geometry

E_form: -0.178 eV per atom
size of the total moment: 0.0 μB per formula unit
E above lowest polymorph: 0.0 meV per atom
calculated total energy: -0.396 Ry/atom

Cell lengths 3.533, 3.533, 12.431 Å; angles 90.00, 90.00, 90.00 degrees
Element x y z (fractional)
Y1 0.500 0.500 0.857
Y2 0.500 0.500 0.143
Y3 0.000 0.000 0.638
Y4 0.000 0.000 0.362
Zn1 0.000 0.000 0.000
Cu1 0.500 0.500 0.500


[2]
Compound: YZn9Cu2
Source: the Alexandria database
Functional: PBE
Structure: optimized geometry

E_form: -0.122 eV per atom
size of the total moment: 0.0 μB per formula unit
E above lowest polymorph: 108.9 meV per atom
calculated total energy: -0.169 Ry/atom

Cell lengths 3.018, 8.500, 8.500 Å; angles 120.00, 90.00, 90.00 degrees
Element x y z (fractional)
Y1 0.000 0.000 0.000
Zn1 0.500 0.813 0.187
Zn2 0.000 0.000 0.500
Zn3 0.000 0.500 0.500
Zn4 0.500 0.813 0.626
Zn5 0.500 0.187 0.813
Zn6 0.500 0.626 0.813
Zn7 0.500 0.187 0.374
Zn8 0.000 0.500 0.000
Zn9 0.500 0.374 0.187
Cu1 0.000 0.667 0.333
Cu2 0.000 0.333 0.667


[3]
Compound: Y3Zn3Cu
Source: the Alexandria database
Functional: PBE
Structure: optimized geometry

E_form: -0.306 eV per atom
size of the total moment: 0.0 μB per formula unit
calculated total energy: -0.309 Ry/atom

Cell lengths 4.424, 5.473, 14.006 Å; angles 85.47, 80.91, 66.16 degrees
Element x y z (fractional)
Y1 0.540 0.307 0.613
Y2 0.460 0.693 0.387
Y3 0.244 0.280 0.231
Y4 0.756 0.720 0.769
Y5 0.393 0.291 0.923
Y6 0.607 0.709 0.077
Zn1 0.864 0.728 0.545
Zn2 0.136 0.272 0.455
Zn3 0.103 0.873 0.921
Zn4 0.897 0.127 0.079
Zn5 0.950 0.863 0.237
Zn6 0.050 0.137 0.763
Cu1 0.751 0.103 0.395
Cu2 0.249 0.897 0.605


[4]
Compound: Y3Zn8Cu
Source: the Alexandria database
Functional: PBE
Structure: optimized geometry

E_form: -0.256 eV per atom
size of the total moment: 0.0 μB per formula unit
calculated total energy: -0.225 Ry/atom

Cell lengths 5.364, 5.364, 9.323 Å; angles 73.28, 73.28, 60.00 degrees
Element x y z (fractional)
Y1 0.378 0.378 0.866
Y2 0.991 0.991 0.028
Y3 0.505 0.505 0.486
Zn1 0.936 0.438 0.189
Zn2 0.440 0.939 0.681
Zn3 0.438 0.438 0.189
Zn4 0.939 0.939 0.681
Zn5 0.189 0.189 0.434
Zn6 0.688 0.688 0.936
Zn7 0.438 0.936 0.189
Zn8 0.939 0.440 0.681
Cu1 0.870 0.870 0.390


[5]
Compound: YZn4Cu4
Source: the Alexandria database
Functional: PBE
Structure: optimized geometry

E_form: -0.049 eV per atom
size of the total moment: 0.0 μB per formula unit
calculated total energy: -0.232 Ry/atom

Cell lengths 4.345, 8.069, 8.069 Å; angles 90.00, 90.00, 90.00 degrees
Element x y z (fractional)
Y1 0.000 0.000 0.000
Y2 0.500 0.500 0.500
Zn1 0.499 0.414 0.871
Zn2 0.999 0.629 0.914
Zn3 0.499 0.586 0.129
Zn4 0.001 0.086 0.629
Zn5 0.501 0.871 0.586
Zn6 0.001 0.914 0.371
Zn7 0.999 0.371 0.086
Zn8 0.501 0.129 0.414
Cu1 0.501 0.871 0.222
Cu2 0.501 0.129 0.778
Cu3 0.001 0.722 0.629
Cu4 0.999 0.371 0.722
Cu5 0.999 0.629 0.278
Cu6 0.499 0.222 0.129
Cu7 0.499 0.778 0.871
Cu8 0.001 0.278 0.371


[6]
Compound: Y3ZnCu3
Source: the Alexandria database
Functional: PBE
Structure: optimized geometry

E_form: -0.260 eV per atom
size of the total moment: 0.0 μB per formula unit
calculated total energy: -0.365 Ry/atom

Cell lengths 4.168, 5.532, 13.823 Å; angles 85.10, 81.33, 67.87 degrees
Element x y z (fractional)
Y1 0.537 0.315 0.611
Y2 0.463 0.685 0.389
Y3 0.252 0.264 0.232
Y4 0.748 0.736 0.768
Y5 0.394 0.290 0.922
Y6 0.606 0.710 0.078
Zn1 0.756 0.093 0.395
Zn2 0.244 0.907 0.605
Cu1 0.871 0.715 0.544
Cu2 0.129 0.285 0.456
Cu3 0.103 0.871 0.922
Cu4 0.897 0.129 0.078
Cu5 0.962 0.843 0.233
Cu6 0.038 0.157 0.767


[7]
Compound: YZn9Cu2
Source: the Alexandria database
Functional: PBE
Structure: optimized geometry

E_form: -0.231 eV per atom
size of the total moment: 0.0 μB per formula unit
E above lowest polymorph: 0.0 meV per atom
calculated total energy: -0.177 Ry/atom

Cell lengths 6.696, 8.140, 8.140 Å; angles 80.26, 65.71, 65.71 degrees
Element x y z (fractional)
Y1 0.500 0.000 0.000
Y2 0.250 0.500 0.500
Zn1 0.750 0.500 0.500
Zn2 0.000 0.000 0.000
Zn3 0.010 0.917 0.675
Zn4 0.602 0.083 0.325
Zn5 0.677 0.175 0.583
Zn6 0.435 0.825 0.417
Zn7 0.740 0.825 0.583
Zn8 0.148 0.175 0.417
Zn9 0.073 0.917 0.325
Zn10 0.315 0.083 0.675
Zn11 0.740 0.583 0.825
Zn12 0.148 0.417 0.175
Zn13 0.073 0.325 0.917
Zn14 0.315 0.675 0.083
Zn15 0.010 0.675 0.917
Zn16 0.602 0.325 0.083
Zn17 0.677 0.583 0.175
Zn18 0.435 0.417 0.825
Cu1 0.875 0.250 0.750
Cu2 0.875 0.750 0.250
Cu3 0.875 0.250 0.250
Cu4 0.375 0.750 0.750


[8]
Compound: Y2Zn5Cu12
Source: the Alexandria database
Functional: PBE
Structure: optimized geometry

E_form: -0.166 eV per atom
size of the total moment: 0.0 μB per formula unit
calculated total energy: -0.277 Ry/atom

Cell lengths 6.558, 6.558, 6.558 Å; angles 82.60, 82.60, 82.60 degrees
Element x y z (fractional)
Y1 0.649 0.649 0.649
Y2 0.351 0.351 0.351
Zn1 0.000 0.000 0.500
Zn2 0.000 0.500 0.000
Zn3 0.500 0.000 0.000
Zn4 0.901 0.901 0.901
Zn5 0.099 0.099 0.099
Cu1 0.302 0.698 0.000
Cu2 0.698 0.000 0.302
Cu3 0.000 0.302 0.698
Cu4 0.698 0.302 0.000
Cu5 0.302 0.000 0.698
Cu6 0.000 0.698 0.302
Cu7 0.348 0.348 0.843
Cu8 0.348 0.843 0.348
Cu9 0.843 0.348 0.348
Cu10 0.652 0.157 0.652
Cu11 0.652 0.652 0.157
Cu12 0.157 0.652 0.652


[9]
Compound: YZnCu6
Source: the Alexandria database
Functional: PBE
Structure: optimized geometry

E_form: 0.036 eV per atom
size of the total moment: 0.0 μB per formula unit
calculated total energy: -0.294 Ry/atom

Cell lengths 4.893, 4.893, 4.893 Å; angles 90.00, 90.00, 90.00 degrees
Element x y z (fractional)
Y1 0.500 0.500 0.500
Zn1 0.000 0.000 0.000
Cu1 0.500 0.759 0.000
Cu2 0.759 0.000 0.500
Cu3 0.000 0.500 0.241
Cu4 0.241 0.000 0.500
Cu5 0.500 0.241 0.000
Cu6 0.000 0.500 0.759


[10]
Compound: YZn4Cu2
Source: the Alexandria database
Functional: PBE
Structure: optimized geometry

E_form: -0.232 eV per atom
size of the total moment: 0.0 μB per formula unit
E above lowest polymorph: 0.0 meV per atom
calculated total energy: -0.224 Ry/atom

Cell lengths 5.021, 5.307, 5.307 Å; angles 77.54, 61.83, 61.83 degrees
Element x y z (fractional)
Y1 0.000 0.000 0.000
Zn1 0.694 0.613 0.999
Zn2 0.306 0.387 0.001
Zn3 0.694 0.999 0.613
Zn4 0.306 0.001 0.387
Cu1 0.749 0.500 0.500
Cu2 0.251 0.500 0.500


[11]
Compound: YZnCu5
Source: the Alexandria database
Functional: PBE
Structure: optimized geometry

E_form: -0.200 eV per atom
size of the total moment: 0.0 μB per formula unit
calculated total energy: -0.311 Ry/atom

Cell lengths 5.031, 8.086, 10.184 Å; angles 90.00, 90.00, 90.00 degrees
Element x y z (fractional)
Y1 0.250 0.242 0.938
Y2 0.750 0.258 0.438
Y3 0.250 0.742 0.562
Y4 0.750 0.758 0.062
Zn1 0.250 0.858 0.859
Zn2 0.750 0.642 0.359
Zn3 0.250 0.358 0.641
Zn4 0.750 0.142 0.141
Cu1 0.250 0.594 0.017
Cu2 0.750 0.906 0.517
Cu3 0.250 0.094 0.483
Cu4 0.750 0.406 0.983
Cu5 0.750 0.317 0.748
Cu6 0.250 0.183 0.248
Cu7 0.750 0.817 0.752
Cu8 0.250 0.683 0.252
Cu9 0.250 0.939 0.096
Cu10 0.750 0.561 0.596
Cu11 0.250 0.439 0.404
Cu12 0.750 0.061 0.904
Cu13 0.994 0.434 0.191
Cu14 0.006 0.066 0.691
Cu15 0.506 0.934 0.309
Cu16 0.494 0.566 0.809
Cu17 0.006 0.566 0.809
Cu18 0.994 0.934 0.309
Cu19 0.494 0.066 0.691
Cu20 0.506 0.434 0.191


[12]
Compound: Y2ZnCu16
Source: the Alexandria database
Functional: PBE
Structure: optimized geometry

E_form: -0.136 eV per atom
size of the total moment: 0.0 μB per formula unit
calculated total energy: -0.318 Ry/atom

Cell lengths 6.480, 6.480, 6.480 Å; angles 82.78, 82.78, 82.78 degrees
Element x y z (fractional)
Y1 0.653 0.653 0.653
Y2 0.341 0.341 0.341
Zn1 0.902 0.902 0.902
Cu1 0.703 0.001 0.298
Cu2 0.001 0.298 0.703
Cu3 0.298 0.703 0.001
Cu4 0.001 0.703 0.298
Cu5 0.703 0.298 0.001
Cu6 0.298 0.001 0.703
Cu7 0.346 0.847 0.346
Cu8 0.847 0.346 0.346
Cu9 0.346 0.346 0.847
Cu10 0.653 0.156 0.653
Cu11 0.156 0.653 0.653
Cu12 0.653 0.653 0.156
Cu13 0.001 0.500 0.001
Cu14 0.500 0.001 0.001
Cu15 0.001 0.001 0.500
Cu16 0.099 0.099 0.099


What did the twelfth record say?
Compound: Y2ZnCu16
Source: the Alexandria database
Functional: PBE
Structure: optimized geometry

E_form: -0.136 eV per atom
size of the total moment: 0.0 μB per formula unit
calculated total energy: -0.318 Ry/atom

Cell lengths 6.480, 6.480, 6.480 Å; angles 82.78, 82.78, 82.78 degrees
Element x y z (fractional)
Y1 0.653 0.653 0.653
Y2 0.341 0.341 0.341
Zn1 0.902 0.902 0.902
Cu1 0.703 0.001 0.298
Cu2 0.001 0.298 0.703
Cu3 0.298 0.703 0.001
Cu4 0.001 0.703 0.298
Cu5 0.703 0.298 0.001
Cu6 0.298 0.001 0.703
Cu7 0.346 0.847 0.346
Cu8 0.847 0.346 0.346
Cu9 0.346 0.346 0.847
Cu10 0.653 0.156 0.653
Cu11 0.156 0.653 0.653
Cu12 0.653 0.653 0.156
Cu13 0.001 0.500 0.001
Cu14 0.500 0.001 0.001
Cu15 0.001 0.001 0.500
Cu16 0.099 0.099 0.099


Question: What is the E_form in the twelfth record?
Answer: -0.136 eV per atom


Question: Number 9 is which compound?
Answer: YZnCu6